Here is crystalline Ho2Er2Ga4Si at its relaxed geometry from the Alexandria database. Energies are from GGA-PBE.

Geometry as CIF:
```
data_Ho2Er2Ga4Si
_chemical_formula_sum 'Ho4 Er4 Ga8 Si2'
_symmetry_space_group_name_H-M 'I 4/m m m'
_symmetry_Int_Tables_number 139
_symmetry_space_group_name_Hall '-I 4 2'
_cell_length_a 6.8859
_cell_length_b 6.8859
_cell_length_c 8.7377
_cell_angle_alpha 90.00
_cell_angle_beta 90.00
_cell_angle_gamma 90.00
loop_
_atom_site_label
_atom_site_fract_x
_atom_site_fract_y
_atom_site_fract_z
_atom_site_occupancy
Ho1 0.0000 0.0000 0.1954 1
Er1 0.0000 0.5000 0.2500 1
Ga1 0.2499 0.2499 0.0000 1
Si1 0.0000 0.0000 0.5000 1
```

Results
Raw total energy ... -0.3135 Ry per atom
ρ ... 7.79 g/cm³
Fermi-level density of states ... 10.368 states/eV per cell
ΔE_f (raw) ... -2.6 eV per formula unit



Here is crystalline AsOsRh3 at its relaxed geometry from the Alexandria database. Energies are from GGA-PBE.

Geometry as CIF:
```
data_AsOsRh3
_chemical_formula_sum 'As1 Os1 Rh3'
_symmetry_space_group_name_H-M 'P m -3 m'
_symmetry_Int_Tables_number 221
_symmetry_space_group_name_Hall '-P 4 2 3'
_cell_length_a 4.7010
_cell_length_b 4.7010
_cell_length_c 4.7010
_cell_angle_alpha 90.00
_cell_angle_beta 90.00
_cell_angle_gamma 90.00
loop_
_atom_site_label
_atom_site_fract_x
_atom_site_fract_y
_atom_site_fract_z
_atom_site_occupancy
As1 0.0000 0.0000 0.0000 1
Os1 0.5000 0.5000 0.5000 1
Rh1 0.0000 0.5000 0.5000 1
```

Results
Raw total energy ... -0.4585 Ry per atom
ρ ... 9.17 g/cm³
Fermi-level density of states ... 5.201 states/eV per cell
E_form ... 1.349 eV per atom



Here is crystalline Ba2MgSe at its relaxed geometry from the Alexandria database. Energies are from GGA-PBE.

Geometry as CIF:
```
data_Ba2MgSe
_chemical_formula_sum 'Ba2 Mg1 Se1'
_symmetry_space_group_name_H-M 'P 1 2/m 1'
_symmetry_Int_Tables_number 10
_symmetry_space_group_name_Hall '-P 2y'
_cell_length_a 4.1736
_cell_length_b 4.1697
_cell_length_c 8.4355
_cell_angle_alpha 90.00
_cell_angle_beta 90.06
_cell_angle_gamma 90.00
loop_
_atom_site_label
_atom_site_fract_x
_atom_site_fract_y
_atom_site_fract_z
_atom_site_occupancy
Ba1 0.0011 0.0000 0.2773 1
Mg1 0.5000 0.5000 0.0000 1
Se1 0.5000 0.5000 0.5000 1
```

Results
Raw total energy ... -0.2269 Ry per atom
ρ ... 4.27 g/cm³
Fermi-level density of states ... 3.125 states/eV per cell
ΔE_f (raw) ... -3.4 eV per formula unit